A plane-wave DFT calculation with GGA-PBE was carried out for AlFeMo2 after structural relaxation.

abc: 4.307 2.673 5.062
angles: 80.84 90.00 90.00
Each line ends with the local moment (μB).
Fractional positions:
Mo 0.000 0.996 0.991  -0.12
Mo 0.500 0.197 0.260  -0.09
Fe 0.500 0.746 0.746  1.65
Al 0.000 0.561 0.504  -0.01

Summary:
- D(E_F) (states/eV/cell) = 3.442
- symmetry = No. 6
- total DFT energy (no corrections) (eV per cell) = -34.0
- ρ (kg/m³) = 7926